Entry 1:
## PrZr (PBE)

Data for PrZr after structural relaxation.

a b c (Å): 9.064 6.856 5.609
angles (deg): 90.00 90.00 100.91
Atoms (fractional coordinates):
Zr  0.662  0.683  0.000
Zr  0.547  0.904  0.500
Zr  0.221  0.054  0.500
Zr  0.001  0.001  0.000
Zr  0.675  0.151  0.000
Zr  0.561  0.373  0.500
Pr  0.343  0.851  0.000
Pr  0.349  0.324  0.000
Pr  0.873  0.732  0.500
Pr  0.235  0.559  0.500
Pr  0.879  0.205  0.500
Pr  0.987  0.497  0.000

The energy above the most stable polymorph in this dataset is 0.104 eV per atom.


Entry 2:
## Pr7CoBr12 (PBE)

Data for Pr7CoBr12 after structural relaxation.

a b c (Å): 9.532 9.532 9.532
angles (deg): 107.05 107.05 107.05
Atoms (fractional coordinates):
Co  0.000  0.000  0.000
Br  0.389  0.467  0.163
Br  0.074  0.685  0.224
Br  0.224  0.074  0.685
Br  0.315  0.776  0.926
Br  0.926  0.315  0.776
Br  0.837  0.611  0.533
Br  0.533  0.837  0.611
Br  0.685  0.224  0.074
Br  0.467  0.163  0.389
Br  0.163  0.389  0.467
Br  0.611  0.533  0.837
Br  0.776  0.926  0.315
Pr  0.972  0.688  0.897
Pr  0.500  0.500  0.500
Pr  0.312  0.103  0.028
Pr  0.688  0.897  0.972
Pr  0.103  0.028  0.312
Pr  0.897  0.972  0.688
Pr  0.028  0.312  0.103


Entry 3:
## TaCd3H6 (PBE)

Data for TaCd3H6 after structural relaxation.

a b c (Å): 5.048 5.048 5.614
angles (deg): 90.00 90.00 120.00
Atoms (fractional coordinates):
Cd  0.333  0.667  0.500
Cd  0.667  0.333  0.500
Cd  0.000  0.000  0.500
H  0.351  0.351  0.106
H  0.649  0.649  0.894
H  0.649  0.000  0.106
H  0.351  0.000  0.894
H  0.000  0.351  0.894
H  0.000  0.649  0.106
Ta  0.000  0.000  0.000


Entry 4:
## NbBi2Au2 (PBE)

Data for NbBi2Au2 after structural relaxation.

a b c (Å): 7.158 7.158 7.158
angles (deg): 143.90 143.90 51.98
Last column: magnetic moment on the atom in μB.
Atoms (fractional coordinates):
Au  0.600  0.600  0.000  0.01
Au  0.400  0.400  0.000  0.01
Bi  0.750  0.250  0.500  -0.03
Bi  0.250  0.750  0.500  -0.03
Nb  0.000  0.000  0.000  2.35


Entry 5:
## KCoGe (PBE)

Data for KCoGe after structural relaxation.

a b c (Å): 4.501 4.501 4.501
angles (deg): 60.00 60.00 60.00
Atoms (fractional coordinates):
Ge  0.250  0.250  0.250
Co  0.000  0.000  0.000
K  0.750  0.750  0.750

The energy above the most stable polymorph in this dataset is 0.000 eV per atom.


Entry 6:
## PdS2 (PBE)

Data for PdS2 after structural relaxation.

a b c (Å): 10.366 10.366 10.366
angles (deg): 20.20 20.20 20.20
Atoms (fractional coordinates):
S  0.790  0.790  0.790
S  0.622  0.622  0.622
S  0.545  0.545  0.545
S  0.377  0.377  0.377
Pd  0.917  0.917  0.917
Pd  0.083  0.083  0.083


Entry 7:
## ZrReNi6 (PBE)

Data for ZrReNi6 after structural relaxation.

a b c (Å): 5.155 5.155 4.266
angles (deg): 90.00 90.00 120.00
Atoms (fractional coordinates):
Ni  0.823  0.646  0.500
Ni  0.497  0.503  0.000
Ni  0.006  0.503  0.000
Ni  0.354  0.177  0.500
Ni  0.823  0.177  0.500
Ni  0.497  0.994  0.000
Re  0.333  0.667  0.500
Zr  0.000  0.000  0.000


Entry 8:
## Y2ErPdPt2Pb3 (PBE)

Data for Y2ErPdPt2Pb3 after structural relaxation.

a b c (Å): 3.939 7.761 7.761
angles (deg): 119.77 90.00 90.00
Atoms (fractional coordinates):
Pb  0.500  0.262  0.262
Pb  0.500  0.738  0.001
Pb  0.500  0.001  0.738
Pt  0.500  0.666  0.337
Pt  0.500  0.337  0.666
Y  0.000  0.406  0.000
Y  0.000  0.000  0.406
Pd  0.000  0.998  0.998
Er  0.000  0.593  0.593


Entry 9:
## DyCo4B4 (PBE)

Data for DyCo4B4 after structural relaxation.

a b c (Å): 5.005 5.005 6.976
angles (deg): 90.00 90.00 90.00
Atoms (fractional coordinates):
B  0.425  0.250  0.590
B  0.575  0.750  0.410
B  0.250  0.425  0.090
B  0.925  0.750  0.410
B  0.250  0.075  0.090
B  0.750  0.925  0.910
B  0.750  0.575  0.910
B  0.075  0.250  0.590
Co  0.504  0.250  0.886
Co  0.004  0.750  0.114
Co  0.996  0.250  0.886
Co  0.250  0.504  0.386
Co  0.250  0.996  0.386
Co  0.750  0.004  0.614
Co  0.496  0.750  0.114
Co  0.750  0.496  0.614
Dy  0.750  0.250  0.250
Dy  0.250  0.750  0.750


Entry 10:
## Nd5NiPb3 (PBE)

Data for Nd5NiPb3 after structural relaxation.

a b c (Å): 9.487 9.487 6.978
angles (deg): 90.00 90.00 120.00
Atoms (fractional coordinates):
Ni  0.000  0.000  0.500
Ni  0.000  0.000  0.000
Nd  0.333  0.667  0.500
Nd  0.667  0.333  0.500
Nd  0.667  0.333  0.000
Nd  0.240  0.000  0.250
Nd  0.000  0.760  0.750
Nd  0.760  0.000  0.750
Nd  0.000  0.240  0.250
Nd  0.333  0.667  0.000
Nd  0.240  0.240  0.750
Nd  0.760  0.760  0.250
Pb  0.000  0.600  0.250
Pb  0.400  0.000  0.750
Pb  0.600  0.600  0.750
Pb  0.000  0.400  0.750
Pb  0.600  0.000  0.250
Pb  0.400  0.400  0.250


Entry 11:
## RePbO3 (PBE)

Data for RePbO3 after structural relaxation.

a b c (Å): 5.768 5.768 5.768
angles (deg): 68.05 68.05 68.05
Atoms (fractional coordinates):
O  0.471  0.029  0.750
O  0.750  0.471  0.029
O  0.971  0.250  0.529
O  0.029  0.750  0.471
O  0.250  0.529  0.971
O  0.529  0.971  0.250
Pb  0.500  0.500  0.500
Pb  0.000  0.000  0.000
Re  0.250  0.250  0.250
Re  0.750  0.750  0.750


Entry 12:
## Pr3Tc2N6 (PBE)

Data for Pr3Tc2N6 after structural relaxation.

a b c (Å): 10.259 10.259 10.259
angles (deg): 157.96 157.96 31.36
Atoms (fractional coordinates):
N  0.413  0.913  0.500
N  0.587  0.087  0.500
N  0.913  0.413  0.500
N  0.087  0.587  0.500
N  0.697  0.697  0.000
N  0.303  0.303  0.000
Tc  0.592  0.592  0.000
Tc  0.408  0.408  0.000
Pr  0.816  0.816  0.000
Pr  0.000  0.000  0.000
Pr  0.184  0.184  0.000


Entry 13:
## SrPmW (PBE)

Data for SrPmW after structural relaxation.

a b c (Å): 5.170 5.170 5.170
angles (deg): 60.00 60.00 60.00
Atoms (fractional coordinates):
W  0.750  0.750  0.750
Pm  0.000  0.000  0.000
Sr  0.250  0.250  0.250


Entry 14:
## Hf3Fe4As4 (PBE)

Data for Hf3Fe4As4 after structural relaxation.

a b c (Å): 6.453 3.725 7.443
angles (deg): 90.00 90.16 90.00
Last column: magnetic moment on the atom in μB.
Atoms (fractional coordinates):
Hf  0.035  0.500  0.175  -0.06
Hf  0.547  0.500  0.328  -0.07
Hf  0.465  0.000  0.683  -0.09
As  0.242  0.000  0.369  0.00
As  0.227  0.500  0.865  0.01
As  0.775  0.500  0.657  -0.01
As  0.749  0.000  0.113  0.00
Fe  0.602  0.500  0.951  1.88
Fe  0.129  0.500  0.552  2.01
Fe  0.371  0.000  0.053  2.02
Fe  0.860  0.000  0.451  2.13


Entry 15:
## LaTcNO (PBE)

Data for LaTcNO after structural relaxation.

a b c (Å): 5.145 6.424 7.216
angles (deg): 90.00 90.00 90.00
Atoms (fractional coordinates):
La  0.513  0.928  0.808
La  0.513  0.428  0.192
La  0.013  0.072  0.192
La  0.013  0.572  0.808
N  0.001  0.966  0.869
N  0.001  0.466  0.131
N  0.501  0.534  0.869
N  0.501  0.034  0.131
Tc  0.505  0.361  0.664
Tc  0.505  0.861  0.336
Tc  0.005  0.639  0.336
Tc  0.005  0.139  0.664
O  0.183  0.884  0.505
O  0.683  0.616  0.505
O  0.183  0.384  0.495
O  0.683  0.116  0.495

The energy above the most stable polymorph in this dataset is 0.414 eV per atom.


Entry 16:
## Hf2Sb (PBE)

Data for Hf2Sb after structural relaxation.

a b c (Å): 5.817 5.817 5.817
angles (deg): 60.00 60.00 60.00
Atoms (fractional coordinates):
Hf  0.625  0.125  0.625
Hf  0.125  0.625  0.625
Hf  0.625  0.625  0.625
Hf  0.625  0.625  0.125
Sb  0.000  0.000  0.000
Sb  0.250  0.250  0.250


Entry 17:
## NbTcPb (PBE)

Data for NbTcPb after structural relaxation.

a b c (Å): 4.502 4.502 4.502
angles (deg): 60.00 60.00 60.00
Atoms (fractional coordinates):
Nb  0.250  0.250  0.250
Tc  0.000  0.000  0.000
Pb  0.750  0.750  0.750

The energy above the most stable polymorph in this dataset is 0.000 eV per atom.


Entry 18:
## Nb2MoW2 (PBE)

Data for Nb2MoW2 after structural relaxation.

a b c (Å): 7.083 7.083 7.083
angles (deg): 149.43 149.43 43.77
Atoms (fractional coordinates):
W  0.590  0.590  0.000
W  0.410  0.410  0.000
Mo  0.000  0.000  0.000
Nb  0.750  0.250  0.500
Nb  0.250  0.750  0.500

The energy above the most stable polymorph in this dataset is 0.172 eV per atom.


Entry 19:
## Li4SbOs2 (PBE)

Data for Li4SbOs2 after structural relaxation.

a b c (Å): 5.413 5.413 4.620
angles (deg): 90.26 90.26 126.80
Atoms (fractional coordinates):
Os  0.500  0.000  0.500
Os  0.000  0.500  0.500
Sb  0.000  0.000  0.000
Li  0.732  0.732  0.496
Li  0.268  0.268  0.504
Li  0.328  0.672  0.000
Li  0.672  0.328  0.000


Entry 20:
## LuNbNiPb (PBE)

Data for LuNbNiPb after structural relaxation.

a b c (Å): 4.834 4.834 4.834
angles (deg): 60.00 60.00 60.00
Atoms (fractional coordinates):
Pb  0.000  0.000  0.000
Ni  0.750  0.750  0.750
Nb  0.250  0.250  0.250
Lu  0.500  0.500  0.500

The energy above the most stable polymorph in this dataset is 0.000 eV per atom.


Entry 21:
## KRbFe2P2 (PBE)

Data for KRbFe2P2 after structural relaxation.

a b c (Å): 3.821 3.821 10.343
angles (deg): 90.00 90.00 90.00
Atoms (fractional coordinates):
P  0.000  0.000  0.897
P  0.500  0.500  0.109
Rb  0.500  0.500  0.701
Fe  0.000  0.500  0.003
Fe  0.500  0.000  0.003
K  0.000  0.000  0.287


Entry 22:
## Ta3AlC2 (PBE)

Data for Ta3AlC2 after structural relaxation.

a b c (Å): 3.102 3.102 19.242
angles (deg): 90.00 90.00 120.00
Atoms (fractional coordinates):
Ta  0.667  0.333  0.134
Ta  0.000  0.000  0.000
Ta  0.000  0.000  0.500
Ta  0.333  0.667  0.866
Ta  0.333  0.667  0.634
Ta  0.667  0.333  0.366
Al  0.000  0.000  0.750
Al  0.000  0.000  0.250
C  0.333  0.667  0.432
C  0.667  0.333  0.932
C  0.667  0.333  0.568
C  0.333  0.667  0.068


Entry 23:
## AcHgAsO (PBE)

Data for AcHgAsO after structural relaxation.

a b c (Å): 5.924 4.270 7.411
angles (deg): 90.00 90.00 90.00
Atoms (fractional coordinates):
Ac  0.500  0.706  0.610
Ac  0.500  0.294  0.110
O  0.500  0.800  0.937
O  0.500  0.200  0.437
Hg  0.000  0.063  0.461
Hg  0.000  0.937  0.961
As  0.000  0.603  0.245
As  0.000  0.397  0.745

The energy above the most stable polymorph in this dataset is 0.174 eV per atom.


no.,raw total energy (eV/atom)
1,-6.46
2,-4.61
3,-2.94
4,-4.28
5,-3.43
6,-4.48
7,-7.00
8,-5.92
9,-7.14
10,-5.01
11,-7.16
12,-8.51
13,-4.75
14,-7.99
15,-8.18
16,-7.85
17,-7.54
18,-10.30
19,-4.52
20,-5.67
21,-5.36
22,-10.20
23,-4.98